[1]
Computed, not measured: Ce5Sb2Os after structural relaxation at the GGA-PBE level of DFT. Values from VASP.

Structure (Quantum ESPRESSO input):
```
&SYSTEM
  ibrav = 0, nat = 16, ntyp = 3
/
ATOMIC_SPECIES
Ce 140.12 Ce.upf
Sb 121.76 Sb.upf
Os 190.23 Os.upf
CELL_PARAMETERS angstrom
7.908 0.000 0.000
0.000 12.312 0.000
0.000 0.000 4.590
ATOMIC_POSITIONS angstrom
Ce 0.000 0.000 0.000
Ce 1.020 3.693 0.000
Ce 1.643 6.863 2.295
Ce 2.311 0.708 2.295
Ce 2.934 9.848 0.000
Ce 3.954 6.156 0.000
Ce 4.974 2.463 0.000
Ce 5.597 11.604 2.295
Ce 6.265 5.448 2.295
Ce 6.888 8.619 0.000
Sb 0.686 10.123 2.295
Sb 3.268 3.967 2.295
Sb 4.640 8.345 2.295
Sb 7.222 2.189 2.295
Os 0.000 6.156 0.000
Os 3.954 0.000 0.000
```

Values from the calculation:
- energy relative to the lowest polymorph listed for this composition (eV per atom) = 0.000
- symmetry = Pbam (55)
- uncorrected formation energy (kJ/mol of formula units) = -502


[2]
Computed, not measured: Li4ZnGa5 after structural relaxation at the GGA-PBE level of DFT. Values from VASP.

Structure (Quantum ESPRESSO input):
```
&SYSTEM
  ibrav = 0, nat = 10, ntyp = 3
/
ATOMIC_SPECIES
Li 6.94 Li.upf
Zn 65.41 Zn.upf
Ga 69.72 Ga.upf
CELL_PARAMETERS angstrom
3.250 0.000 0.000
0.000 3.250 0.000
0.000 0.000 15.067
ATOMIC_POSITIONS angstrom
Li 0.000 0.000 1.483
Li 0.000 0.000 4.475
Li 0.000 0.000 10.592
Li 0.000 0.000 13.584
Zn 0.000 0.000 7.533
Ga 1.625 1.625 0.000
Ga 1.625 1.625 2.958
Ga 1.625 1.625 5.972
Ga 1.625 1.625 9.095
Ga 1.625 1.625 12.109
```

Values from the calculation:
- energy relative to the lowest polymorph listed for this composition (eV per atom) = 0.000
- symmetry = P4/mmm (123)
- E_form (meV/atom) = -208.4


[3]
Computed, not measured: LaIn3Ag2 after structural relaxation at the GGA-PBE level of DFT. Values from VASP.

Structure (Quantum ESPRESSO input):
```
&SYSTEM
  ibrav = 0, nat = 12, ntyp = 3
/
ATOMIC_SPECIES
La 138.91 La.upf
In 114.82 In.upf
Ag 107.87 Ag.upf
CELL_PARAMETERS angstrom
8.753 -2.395 0.000
8.753 2.395 0.000
-2.681 0.000 7.094
ATOMIC_POSITIONS angstrom
La 1.673 0.000 1.245
La 13.152 0.000 5.849
In -0.780 0.000 4.862
In 5.298 0.000 0.636
In 4.712 0.000 3.592
In 10.114 0.000 3.502
In 9.527 0.000 6.458
In 15.605 0.000 2.232
Ag 2.103 0.000 4.940
Ag 8.136 0.000 1.262
Ag 6.689 0.000 5.832
Ag 12.722 0.000 2.154
```

Values from the calculation:
- energy relative to the lowest polymorph listed for this composition (eV per atom) = 0.005
- symmetry = C2/m (12)
- E_form (meV/atom) = -267.4


[4]
Computed, not measured: Sr8IrPt2 after structural relaxation at the GGA-PBE level of DFT. Values from VASP.

Structure (Quantum ESPRESSO input):
```
&SYSTEM
  ibrav = 0, nat = 11, ntyp = 3
/
ATOMIC_SPECIES
Sr 87.62 Sr.upf
Ir 192.22 Ir.upf
Pt 195.08 Pt.upf
CELL_PARAMETERS angstrom
9.386 0.000 0.000
-4.693 8.128 0.000
0.000 0.000 6.337
ATOMIC_POSITIONS angstrom
Sr -0.007 2.508 1.624
Sr -2.517 6.880 1.624
Sr 2.168 1.260 4.713
Sr 0.000 5.419 4.818
Sr 4.693 2.709 1.518
Sr 2.524 6.868 1.624
Sr 7.210 1.248 4.713
Sr 4.700 5.620 4.713
Ir 0.000 0.000 3.168
Pt 0.000 5.419 1.671
Pt 4.693 2.709 4.666
```

Values from the calculation:
- symmetry = P-3 (147)
- E_form (meV/atom) = -262.2


[5]
Computed, not measured: ScPtF2 after structural relaxation at the GGA-PBE level of DFT. Values from VASP.

Structure (Quantum ESPRESSO input):
```
&SYSTEM
  ibrav = 0, nat = 4, ntyp = 3
/
ATOMIC_SPECIES
Sc 44.96 Sc.upf
Pt 195.08 Pt.upf
F 19.00 F.upf
CELL_PARAMETERS angstrom
0.000 3.007 3.007
3.007 0.000 3.007
3.007 3.007 0.000
ATOMIC_POSITIONS angstrom
Sc 0.000 0.000 0.000
Pt 3.007 3.007 3.007
F 1.503 1.503 1.503
F 4.510 4.510 4.510
```

Values from the calculation:
- energy relative to the lowest polymorph listed for this composition (eV per atom) = 0.580
- symmetry = Fm-3m (225)
- uncorrected formation energy (kJ/mol of formula units) = -527


[6]
Computed, not measured: Ag2BrN after structural relaxation at the GGA-PBE level of DFT. Values from VASP.

Structure (Quantum ESPRESSO input):
```
&SYSTEM
  ibrav = 0, nat = 4, ntyp = 3
/
ATOMIC_SPECIES
Ag 107.87 Ag.upf
Br 79.90 Br.upf
N 14.01 N.upf
CELL_PARAMETERS angstrom
0.000 3.308 3.308
3.308 0.000 3.308
3.308 3.308 0.000
ATOMIC_POSITIONS angstrom
Ag 1.654 1.654 1.654
Ag 4.962 4.962 4.962
Br 0.000 0.000 0.000
N 3.308 3.308 3.308
```

Values from the calculation:
- energy relative to the lowest polymorph listed for this composition (eV per atom) = 0.429
- symmetry = Fm-3m (225)
- uncorrected formation energy (kJ/mol of formula units) = 438


[7]
Computed, not measured: CsZnPb3 after structural relaxation at the GGA-PBE level of DFT. Values from VASP.

Structure (Quantum ESPRESSO input):
```
&SYSTEM
  ibrav = 0, nat = 10, ntyp = 3
/
ATOMIC_SPECIES
Cs 132.91 Cs.upf
Zn 65.41 Zn.upf
Pb 207.20 Pb.upf
CELL_PARAMETERS angstrom
7.294 0.000 0.000
0.000 7.359 0.000
0.000 0.000 7.210
ATOMIC_POSITIONS angstrom
Cs 0.000 1.009 0.000
Cs 3.647 6.350 3.605
Zn 0.000 4.517 5.100
Zn 3.647 2.842 1.495
Pb 0.000 5.300 2.458
Pb 1.677 2.632 3.504
Pb 1.970 4.726 7.109
Pb 3.647 2.059 6.064
Pb 5.324 4.726 7.109
Pb 5.617 2.632 3.504
```

Values from the calculation:
- energy relative to the lowest polymorph listed for this composition (eV per atom) = 0.068
- symmetry = Pmn2_1 (31)
- E_form (meV/atom) = 6.7


[8]
Computed, not measured: Dy8SbTe4P3 after structural relaxation at the GGA-PBE level of DFT. Values from VASP.

Structure (Quantum ESPRESSO input):
```
&SYSTEM
  ibrav = 0, nat = 16, ntyp = 4
/
ATOMIC_SPECIES
Dy 162.50 Dy.upf
Sb 121.76 Sb.upf
Te 127.60 Te.upf
P 30.97 P.upf
CELL_PARAMETERS angstrom
4.186 2.417 7.079
-4.186 2.417 7.079
0.000 -4.834 7.079
ATOMIC_POSITIONS angstrom
Dy -2.200 -1.270 12.156
Dy 0.000 0.000 5.020
Dy 0.000 -2.541 9.082
Dy -2.200 1.270 9.082
Dy 2.200 -1.270 12.156
Dy 0.000 2.541 12.156
Dy 0.000 0.000 16.218
Dy 2.200 1.270 9.082
Sb 0.000 0.000 10.619
Te 0.000 0.000 0.000
Te -2.093 -1.208 7.079
Te -2.093 1.208 14.159
Te 0.000 2.417 7.079
P -4.186 0.000 10.619
P -2.093 1.208 3.540
P 2.093 1.208 3.540
```

Values from the calculation:
- symmetry = R-3m (166)
- uncorrected formation energy (kJ/mol of formula units) = -2256


[9]
Computed, not measured: CaSnRh3 after structural relaxation at the GGA-PBE level of DFT. Values from VASP.

Structure (Quantum ESPRESSO input):
```
&SYSTEM
  ibrav = 0, nat = 10, ntyp = 3
/
ATOMIC_SPECIES
Ca 40.08 Ca.upf
Sn 118.71 Sn.upf
Rh 102.91 Rh.upf
CELL_PARAMETERS angstrom
-2.759 3.704 4.613
2.759 -3.704 4.613
2.759 3.704 -4.613
ATOMIC_POSITIONS angstrom
Ca 0.000 1.852 0.024
Ca 2.759 1.852 4.589
Sn 2.759 0.000 0.000
Sn 0.000 0.000 4.613
Rh 2.759 1.852 -1.889
Rh 1.379 4.148 -2.306
Rh 1.379 0.444 2.306
Rh -1.379 3.260 2.306
Rh 1.379 3.260 2.306
Rh 0.000 1.852 6.501
```

Values from the calculation:
- energy relative to the lowest polymorph listed for this composition (eV per atom) = 0.000
- symmetry = Imma (74)
- E_form (meV/atom) = -333.2


[10]
Computed, not measured: Sm12Tm6Zr after structural relaxation at the GGA-PBE level of DFT. Values from VASP.

Structure (Quantum ESPRESSO input):
```
&SYSTEM
  ibrav = 0, nat = 19, ntyp = 3
/
ATOMIC_SPECIES
Sm 150.36 Sm.upf
Tm 168.93 Tm.upf
Zr 91.22 Zr.upf
CELL_PARAMETERS angstrom
7.752 4.476 2.903
-7.752 4.476 2.903
0.000 -8.952 2.903
ATOMIC_POSITIONS angstrom
Sm -2.453 -3.291 2.941
Sm -4.956 2.396 2.901
Sm 0.403 -5.490 2.901
Sm -4.553 -3.094 5.807
Sm -1.624 3.770 2.941
Sm -4.077 0.479 5.768
Sm 4.077 -0.479 2.941
Sm 1.624 -3.770 5.768
Sm 4.553 3.094 2.901
Sm -0.403 5.490 5.807
Sm 4.956 -2.396 5.807
Sm 2.453 3.291 5.768
Tm -1.972 0.227 2.861
Tm 0.789 -1.822 2.861
Tm 1.183 1.594 2.861
Tm -1.183 -1.594 5.847
Tm -0.789 1.822 5.847
Tm 1.972 -0.227 5.847
Zr 0.000 0.000 0.000
```

Values from the calculation:
- symmetry = R-3 (148)
- E_form (meV/atom) = 35.4


[11]
Computed, not measured: KSmZnO3 after structural relaxation at the GGA-PBE level of DFT. Values from VASP.

Structure (Quantum ESPRESSO input):
```
&SYSTEM
  ibrav = 0, nat = 12, ntyp = 4
/
ATOMIC_SPECIES
K 39.10 K.upf
Sm 150.36 Sm.upf
Zn 65.41 Zn.upf
O 16.00 O.upf
CELL_PARAMETERS angstrom
7.498 0.000 0.000
0.000 3.609 0.000
-2.708 0.000 8.595
ATOMIC_POSITIONS angstrom
K 0.912 0.902 1.440
K 3.878 2.707 7.156
Sm 0.239 2.707 7.305
Sm 4.550 0.902 1.290
Zn -1.304 0.902 5.315
Zn 6.093 2.707 3.281
O -1.399 0.902 7.259
O -0.336 2.707 4.946
O 3.073 2.707 1.025
O 1.717 0.902 7.570
O 5.125 0.902 3.649
O 6.188 2.707 1.336
```

Values from the calculation:
- symmetry = P2_1/m (11)
- uncorrected formation energy (kJ/mol of formula units) = -1258


[12]
Computed, not measured: Pm3Er2Tm4 after structural relaxation at the GGA-PBE level of DFT. Values from VASP.

Structure (Quantum ESPRESSO input):
```
&SYSTEM
  ibrav = 0, nat = 18, ntyp = 3
/
ATOMIC_SPECIES
Pm 145.00 Pm.upf
Er 167.26 Er.upf
Tm 168.93 Tm.upf
CELL_PARAMETERS angstrom
8.248 -5.779 0.000
8.248 5.779 0.000
-0.782 0.000 5.952
ATOMIC_POSITIONS angstrom
Pm 7.661 4.569 4.464
Pm 4.790 1.206 5.446
Pm 5.181 -1.206 2.470
Pm 10.532 1.206 3.482
Pm 10.923 -1.206 0.506
Pm 8.052 -4.569 1.488
Er 6.153 4.235 1.108
Er 9.952 4.235 1.868
Er 5.762 -4.235 4.084
Er 9.561 -4.235 4.844
Tm 3.298 1.548 2.094
Tm 7.063 1.544 2.859
Tm 2.907 -1.548 5.069
Tm 9.042 1.544 0.117
Tm 6.672 -1.544 5.835
Tm 12.806 1.548 0.882
Tm 8.651 -1.544 3.092
Tm 12.415 -1.548 3.858
```

Values from the calculation:
- energy relative to the lowest polymorph listed for this composition (eV per atom) = 0.081
- symmetry = C2/c (15)
- E_form (meV/atom) = 105.2


Number 1: spin magnetization 8.43 Bohr magnetons per cell. Number 2: spin magnetization 0.00 Bohr magnetons per cell. Number 3: spin magnetization 0.00 Bohr magnetons per cell. Number 4: spin magnetization 0.00 Bohr magnetons per cell. Number 5: spin magnetization 0.00 Bohr magnetons per cell. Number 6: spin magnetization 2.01 Bohr magnetons per cell. Number 7: spin magnetization 0.00 Bohr magnetons per cell. Number 8: spin magnetization 0.00 Bohr magnetons per cell. Number 9: spin magnetization 0.00 Bohr magnetons per cell. Number 10: spin magnetization 0.00 Bohr magnetons per cell. Number 11: spin magnetization 0.00 Bohr magnetons per cell. Number 12: spin magnetization 0.00 Bohr magnetons per cell.